Entry 1:
Entry from the Alexandria database: a PBEsol-optimized structure of TlBO2 (SCAN).

Cell lengths 6.113, 6.113, 6.113 Å; angles 39.33, 39.33, 39.33 degrees
Fractional coordinates of all 4 atoms:
Tl1 0.000 0.000 0.000
B1 0.500 0.500 0.500
O1 0.425 0.425 0.425
O2 0.575 0.575 0.575

Output
The density of states at the Fermi level is 0.00 states/eV per cell. Its space group is No. 166. Its energy above the most stable polymorph in this dataset is 288 meV/atom.

---

Entry 2:
Entry from the Alexandria database: a PBEsol-optimized structure of TlB3O (SCAN).

Cell lengths 3.794, 3.794, 3.794 Å; angles 90.00, 90.00, 90.00 degrees
Fractional coordinates of all 5 atoms:
Tl1 0.000 0.000 0.000
B1 0.000 0.500 0.500
B2 0.500 0.000 0.500
B3 0.500 0.500 0.000
O1 0.500 0.500 0.500

Output
The density of states at the Fermi level is 2.07 states/eV per cell. Its space group is No. 221.

---

Entry 3:
Entry from the Alexandria database: a PBEsol-optimized structure of Tl4B8O17 (SCAN).

Cell lengths 6.964, 9.483, 12.234 Å; angles 92.38, 93.24, 90.81 degrees
Fractional coordinates of all 58 atoms:
Tl1 0.044 0.439 0.123
Tl2 0.127 0.654 0.401
Tl3 0.349 0.171 0.672
Tl4 0.435 0.837 0.839
Tl5 0.565 0.163 0.161
Tl6 0.651 0.829 0.328
Tl7 0.873 0.346 0.599
Tl8 0.956 0.561 0.877
B1 0.043 0.981 0.727
B2 0.209 0.743 0.027
B3 0.237 0.896 0.198
B4 0.244 0.161 0.287
B5 0.292 0.487 0.751
B6 0.333 0.306 0.452
B7 0.384 0.414 0.278
B8 0.414 0.653 0.176
B9 0.586 0.347 0.824
B10 0.616 0.586 0.722
B11 0.667 0.694 0.548
B12 0.708 0.513 0.249
B13 0.756 0.839 0.713
B14 0.763 0.104 0.802
B15 0.791 0.257 0.973
B16 0.957 0.019 0.273
O1 0.023 0.654 0.034
O2 0.039 0.149 0.284
O3 0.056 0.898 0.260
O4 0.097 0.492 0.734
O5 0.200 0.878 0.085
O6 0.203 0.757 0.906
O7 0.245 0.983 0.721
O8 0.296 0.284 0.222
O9 0.303 0.533 0.221
O10 0.326 0.175 0.401
O11 0.331 0.426 0.392
O12 0.339 0.039 0.230
O13 0.342 0.330 0.564
O14 0.363 0.785 0.244
O15 0.376 0.665 0.064
O16 0.377 0.366 0.792
O17 0.409 0.600 0.729
O18 0.591 0.400 0.271
O19 0.623 0.634 0.208
O20 0.624 0.335 0.936
O21 0.637 0.215 0.756
O22 0.658 0.670 0.436
O23 0.661 0.961 0.770
O24 0.669 0.574 0.608
O25 0.674 0.825 0.599
O26 0.697 0.467 0.779
O27 0.704 0.716 0.778
O28 0.755 0.017 0.279
O29 0.797 0.243 0.094
O30 0.800 0.122 0.915
O31 0.903 0.508 0.266
O32 0.944 0.102 0.740
O33 0.961 0.851 0.716
O34 0.977 0.346 0.966

Output
Its space group is No. 2.

---

Entry 4:
Entry from the Alexandria database: a PBEsol-optimized structure of VBO3 (SCAN).

Cell lengths 5.477, 5.477, 5.477 Å; angles 49.67, 49.67, 49.67 degrees
Fractional coordinates of all 10 atoms:
V1 0.000 0.000 0.000
V2 0.500 0.500 0.500
B1 0.250 0.250 0.250
B2 0.750 0.750 0.750
O1 0.051 0.750 0.449
O2 0.250 0.551 0.949
O3 0.449 0.051 0.750
O4 0.551 0.949 0.250
O5 0.750 0.449 0.051
O6 0.949 0.250 0.551

Output
The density of states at the Fermi level is 0.43 states/eV per cell. Its space group is No. 167.

---

Energy relative to the elements, uncorrected (kJ per mole of atoms)
-163.45 185.97 -188.28 -258.15